# NpSbSe, optimized geometry, DFT GGA-PBE
# size of the total moment: 9.12 μB per cell
# uncorrected energy: -7.20 eV/atom
# N(E_F): 22.11 states/eV per cell
data_NpSbSe
_chemical_formula_sum 'Np2 Sb2 Se2'
_space_group_name_H-M_alt 'P -3 m 1'
_space_group_IT_number 164
_space_group_name_Hall '-P 3 2"'
_cell_length_a 4.1158
_cell_length_b 4.1158
_cell_length_c 13.0511
_cell_angle_alpha 90.00
_cell_angle_beta 90.00
_cell_angle_gamma 120.00
loop_
_atom_site_label
_atom_site_type_symbol
_atom_site_fract_x
_atom_site_fract_y
_atom_site_fract_z
_atom_site_occupancy
Np1 Np 0.0000 0.0000 0.2499 1
Sb1 Sb 0.3333 0.6667 0.4233 1
Se1 Se 0.3333 0.6667 0.8621 1